1.
A geometry-optimized Dy4ScBi structure, computed with PBE.

Geometry as extended XYZ:
```
6
Lattice="-2.0937 4.4175 1.6313 1.2440 -1.2032 4.8549 6.7907 3.5385 -0.8579" Properties=species:S:1:pos:R:3 pbc="T T T"
Sc 4.6206 0.5683 4.4166
Bi 6.3471 5.1481 2.3757
Dy 2.3976 0.3351 2.1904
Dy 5.5998 2.0052 1.7875
Dy 5.1755 3.6116 5.0314
Dy 1.9718 1.9429 5.4327
```

**Total energy**: -4.61 eV/atom


2.
A geometry-optimized Dy4ScBi5 structure, computed with PBE.

Geometry as extended XYZ:
```
10
Lattice="4.4439 0.0000 0.0000 0.0000 4.4439 0.0000 -2.2220 -2.2220 15.6670" Properties=species:S:1:pos:R:3 pbc="T T T"
Bi 2.2220 2.2220 6.2742
Bi 2.2220 2.2220 0.0000
Bi 2.2220 2.2220 12.6294
Dy 0.0000 0.0000 12.5495
Sc 0.0000 0.0000 0.0000
Bi 0.0000 0.0000 9.3928
Dy 0.0000 0.0000 6.2199
Dy 2.2220 2.2220 3.1175
Dy 2.2220 2.2220 9.4471
Bi 0.0000 0.0000 3.0376
```

**Total energy**: -5.22 eV/atom


3.
A geometry-optimized Dy5ScBi4 structure, computed with PBE.

Geometry as extended XYZ:
```
10
Lattice="4.3494 0.0000 0.0000 0.0000 7.3978 -2.0663 -2.1747 -2.9540 10.8231" Properties=species:S:1:pos:R:3 pbc="T T T"
Dy 0.0000 1.0282 3.4592
Dy 0.0000 4.5730 2.6007
Bi 0.0000 2.0699 0.5660
Dy 2.1747 3.6989 -1.0331
Sc 2.1747 0.0000 0.0000
Dy 2.1747 -0.1291 6.1561
Dy 2.1747 3.4157 5.2977
Bi 0.0000 -1.7488 7.8213
Bi 2.1747 6.1926 0.9356
Bi 2.1747 2.3739 8.1908
```

**Total energy**: -5.01 eV/atom


4.
A geometry-optimized DyScBiSe structure, computed with PBE.

Geometry as extended XYZ:
```
4
Lattice="4.0884 -0.0003 -0.0005 -2.0436 3.5409 0.0001 -2.0440 -1.1799 7.1387" Properties=species:S:1:pos:R:3 pbc="T T T"
Dy 2.4304 0.9215 2.4471
Bi 0.3867 -0.2586 4.5269
Se -1.6580 3.2818 0.6906
Sc -1.6576 0.9215 6.3956
```

**E_form (uncorrected)**: -1.158 eV/atom
**Total energy**: -5.73 eV/atom


5.
A geometry-optimized SmDy2ScBi5 structure, computed with PBE.

Geometry as extended XYZ:
```
9
Lattice="5.5505 0.0000 0.0000 0.0000 5.5505 0.0000 0.0000 0.0000 11.5167" Properties=species:S:1:pos:R:3 pbc="T T T"
Dy 2.7752 2.7752 8.3310
Sm 0.0000 0.0000 5.7583
Sc 0.0000 0.0000 0.0000
Bi 2.7752 0.0000 5.7583
Bi 0.0000 0.0000 8.7841
Bi 0.0000 2.7752 5.7583
Bi 2.7752 2.7752 0.0000
Bi 0.0000 0.0000 2.7326
Dy 2.7752 2.7752 3.1856
```

**Total energy**: -4.27 eV/atom


6.
A geometry-optimized SmDy2Sc3Bi6 structure, computed with PBE.

Geometry as extended XYZ:
```
12
Lattice="7.6071 -0.0032 0.0006 -3.8045 6.5874 0.0006 -1.2687 -2.1968 7.1484" Properties=species:S:1:pos:R:3 pbc="T T T"
Sm 0.0000 0.0000 0.0000
Sc 5.0906 -0.0146 3.5748
Bi 3.8144 2.1696 5.2408
Bi 2.5609 -0.0008 1.9088
Bi -1.2805 2.2178 1.9088
Sc 1.2670 2.1937 3.5748
Sc -2.5567 4.4020 3.5748
Bi -0.0270 4.3882 5.2408
Bi 2.5213 4.3656 1.8986
Dy 3.8086 2.1906 0.0006
Dy -0.0060 4.3936 0.0006
Bi 0.0126 0.0219 5.2510
```

**Total energy**: -5.45 eV/atom